[1]
First-principles (PBE) data for a geometry-optimized La4YCd5 structure, as listed in Alexandria.

Cell: 3.882 3.882 19.672 Å, 90.00 90.00 90.00°
Fractional positions:
La  0.000  0.000  0.602
Y  0.000  0.000  0.000
Cd  0.500  0.500  0.911
Cd  0.500  0.500  0.089
Cd  0.500  0.500  0.296
Cd  0.500  0.500  0.500
La  0.000  0.000  0.194
La  0.000  0.000  0.398
La  0.000  0.000  0.806
Cd  0.500  0.500  0.704

## Properties
The value obtained for the total magnetic moment is 1.5 μB per formula unit. The theoretical density is 6.8 g/cm³. For the total energy, the calculation gives -3.404 eV/atom. The value obtained for the formation energy is -317 kJ/mol of formula units.



[2]
First-principles (PBE) data for a geometry-optimized La3Y3Cd2 structure, as listed in Alexandria.

Cell: 5.407 6.562 15.949 Å, 90.00 90.00 114.33°
Fractional positions:
Cd  0.238  0.476  0.132
Y  0.357  0.715  0.536
Cd  0.238  0.476  0.368
Y  0.643  0.285  0.464
Cd  0.762  0.524  0.632
Y  0.546  0.091  0.750
La  0.732  0.464  0.250
La  0.963  0.926  0.107
Y  0.357  0.715  0.964
La  0.037  0.074  0.893
Cd  0.762  0.524  0.868
La  0.037  0.074  0.607
Y  0.454  0.909  0.250
La  0.268  0.536  0.750
Y  0.643  0.285  0.036
La  0.963  0.926  0.393

## Properties
The value obtained for the total magnetic moment is 0.0 μB per formula unit. The theoretical density is 5.9 g/cm³. For the total energy, the calculation gives -4.586 eV/atom. The value obtained for the formation energy is -66 kJ/mol of formula units.



[3]
First-principles (PBE) data for a geometry-optimized La3Zn2Cd9 structure, as listed in Alexandria.

Cell: 5.035 8.928 8.928 Å, 65.87 73.62 73.62°
Fractional positions:
Cd  0.643  0.713  0.001
Cd  0.855  0.859  0.432
Cd  0.855  0.432  0.859
Cd  0.000  0.500  0.500
La  0.293  0.707  0.707
Zn  0.500  0.657  0.343
Cd  0.357  0.999  0.287
Cd  0.145  0.141  0.568
Zn  0.500  0.343  0.657
La  0.707  0.293  0.293
Cd  0.145  0.568  0.141
La  0.000  0.000  0.000
Cd  0.643  0.001  0.713
Cd  0.357  0.287  0.999

## Properties
The value obtained for the total magnetic moment is 0.0 μB per formula unit. The theoretical density is 7.5 g/cm³. For the total energy, the calculation gives -2.101 eV/atom. The value obtained for the formation energy is -371 kJ/mol of formula units.



[4]
First-principles (PBE) data for a geometry-optimized La2ZnCd structure, as listed in Alexandria.

Cell: 3.842 3.841 8.603 Å, 63.43 90.00 90.00°
Fractional positions:
La  0.000  0.979  0.021
Cd  0.500  0.750  0.750
Zn  0.500  0.250  0.250
La  0.000  0.521  0.479

## Properties
The value obtained for the total magnetic moment is 0.0 μB per formula unit. The theoretical density is 6.7 g/cm³. For the total energy, the calculation gives -3.340 eV/atom. For the relative energy among the computed polymorphs, the calculation gives 0.000 eV/atom. The value obtained for the formation energy is -127 kJ/mol of formula units.



[5]
First-principles (PBE) data for a geometry-optimized La8ZnCd2 structure, as listed in Alexandria.

Cell: 5.596 8.989 8.912 Å, 119.89 108.30 90.00°
Fractional positions:
La  0.412  0.561  0.823
Cd  0.769  0.386  0.538
La  0.868  0.818  0.735
La  0.074  0.722  0.148
Zn  0.500  0.000  0.000
La  0.678  0.953  0.356
La  0.588  0.439  0.177
Cd  0.231  0.614  0.462
La  0.322  0.047  0.644
La  0.132  0.182  0.265
La  0.926  0.278  0.852

## Properties
The value obtained for the total magnetic moment is 0.0 μB per formula unit. The theoretical density is 6.4 g/cm³. For the total energy, the calculation gives -4.013 eV/atom. The value obtained for the formation energy is -156 kJ/mol of formula units.



[6]
First-principles (PBE) data for a geometry-optimized La2Zn2Cd structure, as listed in Alexandria.

Cell: 5.980 5.980 5.782 Å, 58.86 58.86 90.00°
Fractional positions:
Cd  0.000  0.000  0.000
La  0.750  0.250  0.500
La  0.250  0.750  0.500
Zn  0.353  0.353  0.295
Zn  0.647  0.647  0.705

## Properties
The value obtained for the total magnetic moment is 0.0 μB per formula unit. The theoretical density is 6.1 g/cm³. For the total energy, the calculation gives -2.760 eV/atom. The value obtained for the formation energy is -47 kJ/mol of formula units.



[7]
First-principles (PBE) data for a geometry-optimized La2ZnCd structure, as listed in Alexandria.

Cell: 5.451 5.451 5.451 Å, 60.00 60.00 60.00°
Fractional positions:
Cd  0.500  0.500  0.500
Zn  0.000  0.000  0.000
La  0.250  0.250  0.250
La  0.750  0.750  0.750

## Properties
The value obtained for the total magnetic moment is 0.0 μB per formula unit. The theoretical density is 6.6 g/cm³. For the total energy, the calculation gives -3.317 eV/atom. For the relative energy among the computed polymorphs, the calculation gives 0.023 eV/atom. The value obtained for the formation energy is -118 kJ/mol of formula units.



[8]
First-principles (PBE) data for a geometry-optimized LaZnCd2 structure, as listed in Alexandria.

Cell: 5.132 5.132 5.131 Å, 60.00 60.00 60.02°
Fractional positions:
Cd  0.000  0.000  0.000
Zn  0.250  0.250  0.250
Cd  0.750  0.750  0.750
La  0.500  0.500  0.500

## Properties
The value obtained for the total magnetic moment is 0.0 μB per formula unit. The theoretical density is 7.5 g/cm³. For the total energy, the calculation gives -2.320 eV/atom. The value obtained for the formation energy is -121 kJ/mol of formula units.